(1)
BeSbPtAu after structural relaxation. Source: OQMD via LeMat-Bulk, functional PBE.

Unit cell a=4.590 b=4.590 c=4.590 alpha=60.00 beta=60.00 gamma=60.00
Atoms (fractional coordinates):
1 Be 0.000 0.000 0.000
2 Sb 0.500 0.500 0.500
3 Pt 0.250 0.250 0.250
4 Au 0.750 0.750 0.750

Results
space group	No. 216
excess energy over the best structure of this formula in the dataset	0	meV/atom

***

(2)
TaBePtAu after structural relaxation. Source: OQMD via LeMat-Bulk, functional PBE.

Unit cell a=4.420 b=4.420 c=4.420 alpha=60.00 beta=60.00 gamma=60.00
Atoms (fractional coordinates):
1 Ta 0.000 0.000 0.000
2 Be 0.250 0.250 0.250
3 Pt 0.750 0.750 0.750
4 Au 0.500 0.500 0.500

Results
space group	No. 216
excess energy over the best structure of this formula in the dataset	26	meV/atom

***

(3)
TaBePtAu after structural relaxation. Source: OQMD via LeMat-Bulk, functional PBE.

Unit cell a=4.413 b=4.413 c=4.413 alpha=60.00 beta=60.00 gamma=60.00
Atoms (fractional coordinates):
1 Ta 0.000 0.000 0.000
2 Be 0.250 0.250 0.250
3 Pt 0.500 0.500 0.500
4 Au 0.750 0.750 0.750

Results
space group	No. 216
excess energy over the best structure of this formula in the dataset	113	meV/atom

***

(4)
TaBePtAu after structural relaxation. Source: OQMD via LeMat-Bulk, functional PBE.

Unit cell a=4.458 b=4.458 c=4.458 alpha=60.00 beta=60.00 gamma=60.00
Atoms (fractional coordinates):
1 Ta 0.000 0.000 0.000
2 Be 0.500 0.500 0.500
3 Pt 0.750 0.750 0.750
4 Au 0.250 0.250 0.250

Results
space group	No. 216
excess energy over the best structure of this formula in the dataset	0	meV/atom

***

(5)
PuBeAu after structural relaxation. Source: OQMD via LeMat-Bulk, functional PBE.

Unit cell a=4.741 b=4.741 c=4.741 alpha=60.00 beta=60.00 gamma=60.00
Atoms (fractional coordinates):
1 Pu 0.000 0.000 0.000
2 Be 0.250 0.250 0.250
3 Au 0.750 0.750 0.750

Results
space group	No. 216

***

(6)
RbBeAu after structural relaxation. Source: OQMD via LeMat-Bulk, functional PBE.

Unit cell a=5.592 b=5.592 c=5.592 alpha=60.00 beta=60.00 gamma=60.00
Atoms (fractional coordinates):
1 Rb 0.000 0.000 0.000
2 Be 0.250 0.250 0.250
3 Au 0.750 0.750 0.750

Results
space group	No. 216
excess energy over the best structure of this formula in the dataset	335	meV/atom

***

(7)
RbBeAu after structural relaxation. Source: OQMD via LeMat-Bulk, functional PBE.

Unit cell a=5.135 b=5.135 c=5.135 alpha=60.00 beta=60.00 gamma=60.00
Atoms (fractional coordinates):
1 Rb 0.000 0.000 0.000
2 Be 0.500 0.500 0.500
3 Au 0.750 0.750 0.750

Results
space group	No. 216
excess energy over the best structure of this formula in the dataset	31	meV/atom

***

(8)
RbBeAu after structural relaxation. Source: OQMD via LeMat-Bulk, functional PBE.

Unit cell a=4.927 b=4.927 c=4.927 alpha=60.00 beta=60.00 gamma=60.00
Atoms (fractional coordinates):
1 Rb 0.000 0.000 0.000
2 Be 0.750 0.750 0.750
3 Au 0.500 0.500 0.500

Results
space group	No. 216
excess energy over the best structure of this formula in the dataset	0	meV/atom

***

| no. | raw total energy (eV per atom) | calculated volume (Å³/cell) |
| --- | --- | --- |
| 1 | -4.1571 | 68.4 |
| 2 | -6.3591 | 61.1 |
| 3 | -6.2728 | 60.8 |
| 4 | -6.3854 | 62.7 |
| 5 | -6.4761 | 75.4 |
| 6 | -1.6132 | 123.7 |
| 7 | -1.9169 | 95.7 |
| 8 | -1.9479 | 84.5 |